BeAgGe2O6 PBE relaxed; uncorrected formation energy = -1.4778 eV/atom; SG = No. 15
1.0
-1.663 -3.309 4.039
5.099 0.098 5.047
-4.310 3.852 4.250
Ge O Ag Be
4 12 2 2
direct
0.677 0.217 0.393
0.323 0.783 0.607
0.823 0.607 0.783
0.177 0.393 0.217
0.044 0.703 0.607
0.677 0.786 0.993
0.456 0.393 0.297
0.323 0.214 0.007
0.966 0.369 0.828
0.956 0.297 0.393
0.034 0.631 0.172
0.544 0.607 0.703
0.466 0.828 0.369
0.823 0.007 0.214
0.177 0.993 0.786
0.534 0.172 0.631
0.750 0.114 0.886
0.250 0.886 0.114
0.750 0.795 0.205
0.250 0.205 0.795

***

B6IN6 PBE relaxed; uncorrected formation energy = 0.0202 eV/atom; SG = No. 200
1.0
4.717 0.000 0.000
0.000 4.717 0.000
0.000 0.000 4.717
N B I
6 6 1
direct
0.500 0.000 0.241
0.241 0.500 0.000
0.759 0.500 0.000
0.500 0.000 0.759
0.000 0.759 0.500
0.000 0.241 0.500
0.000 0.500 0.250
0.500 0.750 0.000
0.000 0.500 0.750
0.500 0.250 0.000
0.750 0.000 0.500
0.250 0.000 0.500
0.500 0.500 0.500

***

BaZnNi2 PBE relaxed; energy relative to the elements = 0.541 eV/atom; SG = No. 216
1.0
-1.818 4.260 -1.550
-4.387 1.490 1.545
-0.352 3.772 3.083
Ni Zn Ba
2 1 1
direct
0.000 0.000 0.000
0.250 0.250 0.250
0.750 0.750 0.750
0.500 0.500 0.500

***

Cs3SCl PBE relaxed; uncorrected formation energy = -1.3302 eV/atom; SG = No. 15
1.0
-3.199 8.553 0.769
-1.343 -1.646 10.383
8.932 2.678 5.037
Cl S Cs
4 4 12
direct
0.750 0.658 0.342
0.250 0.342 0.658
0.750 0.119 0.881
0.250 0.881 0.119
0.354 0.808 0.710
0.854 0.710 0.808
0.146 0.290 0.192
0.646 0.192 0.290
0.899 0.999 0.209
0.836 0.374 0.007
0.336 0.007 0.374
0.399 0.209 0.999
0.920 0.349 0.409
0.101 0.001 0.791
0.164 0.626 0.993
0.580 0.591 0.651
0.080 0.651 0.591
0.601 0.791 0.001
0.420 0.409 0.349
0.664 0.993 0.626

***

Ac4RuCBr2 PBE relaxed; uncorrected formation energy = -0.7579 eV/atom; SG = No. 10
1.0
-2.467 1.888 2.811
-5.754 -0.943 -4.417
0.243 -6.902 4.849
Br Ru Ac C
2 1 4 1
direct
0.500 0.000 0.500
0.000 0.500 0.500
0.000 0.000 0.000
0.000 0.275 0.817
0.500 0.749 0.810
0.500 0.251 0.190
0.000 0.725 0.183
0.500 0.500 0.000

***

KIn3Bi2 PBE relaxed; energy relative to the elements = -0.092 eV/atom; SG = No. 2
1.0
4.329 -0.003 -1.143
-2.817 8.602 -1.891
0.481 -0.016 10.645
In K Bi
6 2 4
direct
0.339 0.311 0.365
0.973 0.576 0.371
0.661 0.689 0.635
0.027 0.424 0.629
0.691 0.503 0.879
0.309 0.497 0.121
0.979 0.116 0.841
0.021 0.884 0.159
0.686 0.226 0.146
0.314 0.774 0.854
0.343 0.121 0.565
0.657 0.879 0.435

***

GdY2H PBE relaxed; SG = No. 123
1.0
3.355 0.000 0.000
0.000 3.355 0.000
0.000 0.000 8.577
Gd Y H
1 2 1
direct
0.500 0.500 0.500
0.000 0.000 0.190
0.000 0.000 0.810
0.500 0.500 0.000

***

LaTcO6 PBE relaxed; uncorrected formation energy = -1.5028 eV/atom; SG = No. 12
1.0
4.405 -0.412 -0.242
-0.080 4.424 -0.242
0.981 0.910 4.987
La O Tc
1 6 1
direct
0.500 0.500 0.500
0.941 0.329 0.748
0.329 0.941 0.748
0.059 0.671 0.252
0.671 0.059 0.252
0.273 0.273 0.147
0.727 0.727 0.853
0.000 0.000 0.000

***

CaDyPa2O8 PBE relaxed; uncorrected formation energy = -3.3978 eV/atom; SG = No. 119
1.0
5.435 0.000 0.000
0.000 5.435 0.000
-2.717 -2.717 5.373
O Pa Ca Dy
8 2 1 1
direct
0.369 0.388 0.246
0.612 0.123 0.754
0.877 0.858 0.246
0.877 0.389 0.246
0.142 0.631 0.754
0.142 0.123 0.754
0.369 0.858 0.246
0.611 0.631 0.754
0.250 0.750 0.500
0.500 0.500 0.000
0.750 0.250 0.500
0.000 0.000 0.000

***

MnReRu3 PBE relaxed; energy relative to the elements = 1.586 eV/atom; SG = No. 221
1.0
4.332 0.000 0.000
0.000 4.332 0.000
0.000 0.000 4.332
Ru Mn Re
3 1 1
direct
0.000 0.500 0.000
0.000 0.000 0.500
0.500 0.000 0.000
0.000 0.000 0.000
0.500 0.500 0.500

***

CdHg2Pb4 PBE relaxed; energy relative to the elements = 0.029 eV/atom; SG = No. 55
1.0
3.560 0.000 0.000
0.000 7.325 0.000
0.000 0.000 15.589
Hg Cd Pb
4 2 8
direct
0.500 0.234 0.615
0.500 0.734 0.885
0.500 0.766 0.385
0.500 0.266 0.115
0.000 0.000 0.500
0.000 0.500 0.000
0.500 0.666 0.593
0.500 0.834 0.093
0.000 0.945 0.736
0.000 0.555 0.236
0.500 0.166 0.907
0.500 0.334 0.407
0.000 0.055 0.264
0.000 0.445 0.764

***

Ca3Zn8Ga PBE relaxed; energy relative to the elements = -0.207 eV/atom; SG = No. 160
1.0
-1.099 4.478 3.025
-5.208 1.202 1.355
-1.283 -2.906 8.863
Zn Ga Ca
8 1 3
direct
0.438 0.438 0.188
0.937 0.438 0.188
0.438 0.939 0.683
0.939 0.438 0.683
0.438 0.937 0.188
0.188 0.188 0.435
0.688 0.688 0.937
0.939 0.939 0.683
0.871 0.871 0.387
0.994 0.994 0.018
0.376 0.376 0.871
0.504 0.504 0.488

***

YIrW2 PBE relaxed; energy relative to the elements = 0.406 eV/atom; SG = No. 160
1.0
-0.224 -9.800 1.156
1.981 -9.204 2.965
-0.769 -9.029 3.913
W Ir Y
2 1 1
direct
0.004 0.004 0.004
0.256 0.256 0.256
0.742 0.742 0.742
0.497 0.497 0.497

***

CrTc5P3 PBE relaxed; energy relative to the elements = -0.196 eV/atom; SG = No. 10
1.0
4.059 0.000 0.000
0.000 7.055 -0.018
0.000 0.031 8.403
Cr Tc P
2 10 6
direct
0.000 0.665 0.259
0.000 0.335 0.741
0.500 0.167 0.909
0.000 0.340 0.075
0.000 0.664 0.590
0.500 0.833 0.091
0.500 0.833 0.421
0.000 0.336 0.410
0.500 0.167 0.579
0.000 0.660 0.925
0.500 0.167 0.243
0.500 0.833 0.757
0.000 0.008 0.673
0.000 0.000 0.000
0.000 0.992 0.327
0.500 0.508 0.183
0.500 0.500 0.500
0.500 0.492 0.817

***

Pm5ZnSn6 PBE relaxed; energy relative to the elements = -0.601 eV/atom; SG = No. 71
1.0
4.607 1.178 0.000
2.301 10.195 0.000
1.151 5.098 7.375
Sn Pm Zn
6 5 1
direct
0.253 0.578 0.338
0.238 0.261 0.000
0.253 0.916 0.662
0.747 0.084 0.338
0.762 0.739 0.000
0.747 0.422 0.662
0.000 0.328 0.343
0.500 0.141 0.718
0.500 0.500 0.000
0.500 0.859 0.282
0.000 0.672 0.657
0.000 0.000 0.000

***

Total magnetic moment values (in μB/atom) by entry order: 0.098, 0.000, 0.162, 0.013, 0.000, 0.000, 1.713, 0.000, 0.000, 0.471, 0.000, 0.000, 0.000, 0.000, 0.000.
Total DFT energy (no corrections) values (in eV per atom) by entry order: -6.034, -7.023, -3.149, -3.037, -5.543, -2.938, -7.457, -7.133, -8.836, -8.303, -2.307, -1.809, -9.902, -8.828, -4.688.